Sc4Cd3Hg (PBE, relaxed); total DFT energy (no corrections) = -3.873 eV per atom; formation energy from the elements = -327 meV/atom; space-group type = P4/mmm (123); Fermi-level density of states = 7.53 states/eV/cell
1.0
-2.960 1.191 1.527
-1.928 -2.068 -2.125
0.705 -10.407 9.488
Sc Hg Cd
4 1 3
Direct
0.000 0.000 0.877
0.000 0.000 0.123
0.000 0.000 0.374
0.000 0.000 0.626
0.500 0.500 0.000
0.500 0.500 0.250
0.500 0.500 0.500
0.500 0.500 0.750

SrAsSe2O (PBE, relaxed); total DFT energy (no corrections) = -2.489 eV per atom; E_form (uncorrected) = 5.81 eV per formula unit; space-group type = P4/mmm (123); Fermi-level density of states = 16.89 states/eV/cell; offset from the most stable computed form = 37.02 kcal/mol of atoms
1.0
-0.142 -5.745 -0.820
5.784 -0.074 -0.483
0.486 -0.862 5.949
Sr As O Se
1 1 1 2
Direct
0.000 0.000 0.000
0.000 0.000 0.500
0.500 0.500 0.500
0.000 0.500 0.000
0.500 0.000 0.000

BaCuRu2 (PBE, relaxed); total DFT energy (no corrections) = -5.446 eV per atom; formation energy from the elements = 696 meV/atom; space-group type = I4_1/amd (141); Fermi-level density of states = 12.04 states/eV/cell; offset from the most stable computed form = 11.38 kcal/mol of atoms
1.0
-0.844 -4.653 -0.064
3.622 -0.698 2.960
-4.161 -1.766 8.454
Ru Ba Cu
4 2 2
Direct
0.375 0.125 0.250
0.375 0.625 0.250
0.375 0.625 0.750
0.875 0.625 0.750
0.000 0.000 0.000
0.750 0.250 0.500
0.500 0.500 0.000
0.250 0.750 0.500

TcAg2Sb (PBE, relaxed); total DFT energy (no corrections) = -4.718 eV per atom; E_form (uncorrected) = 1.32 eV per formula unit; space-group type = P2/m (10); Fermi-level density of states = 2.36 states/eV/cell
1.0
-1.736 0.398 -2.593
3.209 -2.071 -2.467
0.016 -5.959 -0.926
Ag Sb Tc
2 1 1
Direct
0.000 0.000 0.000
0.500 0.500 0.000
0.500 0.500 0.500
0.000 0.000 0.500

Np2OsC (PBE, relaxed); total DFT energy (no corrections) = -11.077 eV per atom; formation energy from the elements = 507 meV/atom; space-group type = R-3m (166); Fermi-level density of states = 5.80 states/eV/cell; offset from the most stable computed form = 3.36 kcal/mol of atoms
1.0
-0.176 -0.304 2.971
-1.355 -2.391 1.181
6.702 -4.981 1.394
Np C Os
2 1 1
Direct
0.104 0.104 0.688
0.896 0.896 0.312
0.500 0.500 0.500
0.000 0.000 0.000

DyYBeCu (PBE, relaxed); total DFT energy (no corrections) = -4.786 eV per atom; formation energy from the elements = -64 meV/atom; space-group type = F-43m (216); Fermi-level density of states = 2.30 states/eV/cell
1.0
-3.614 -2.406 -2.230
0.781 -4.478 -1.775
-2.048 -3.870 2.154
Y Be Cu Dy
1 1 1 1
Direct
0.750 0.750 0.750
0.500 0.500 0.500
0.000 0.000 0.000
0.250 0.250 0.250